Entry 1:
This record from the Alexandria database describes TlSbC after structural relaxation. The functional is PBE.

Cell: 5.531 5.591 6.221 Å, 109.77 94.80 112.94°
Sites, in units of the cell vectors:
1 Sb 0.548 0.289 0.796
2 Sb 0.572 0.337 0.342
3 Tl 0.911 0.984 0.594
4 Tl 0.219 0.669 0.023
5 C 0.174 0.390 0.279
6 C 0.964 0.278 0.347



Entry 2:
This record from the Alexandria database describes GdAlCoCu after structural relaxation. The functional is PBE.

Cell: 4.526 4.526 4.526 Å, 60.00 60.00 60.00°
Sites, in units of the cell vectors:
1 Al 0.500 0.500 0.500
2 Gd 0.000 0.000 0.000
3 Co 0.750 0.750 0.750
4 Cu 0.250 0.250 0.250



Entry 3:
This record from the Alexandria database describes SiTeIr2 after structural relaxation. The functional is PBE.

Cell: 2.918 5.120 4.518 Å, 90.00 90.00 90.00°
Sites, in units of the cell vectors:
1 Te 0.000 0.500 0.500
2 Ir 0.500 0.500 0.000
3 Ir 0.000 0.000 0.000
4 Si 0.500 0.000 0.500



Entry 4:
This record from the Alexandria database describes ReSi2GeIr after structural relaxation. The functional is PBE.

Cell: 4.518 4.963 4.518 Å, 90.00 90.00 90.00°
Sites, in units of the cell vectors:
1 Ge 0.000 0.500 0.000
2 Ir 0.000 0.000 0.000
3 Si 0.500 0.000 0.000
4 Si 0.000 0.000 0.500
5 Re 0.500 0.500 0.500



Entry 5:
This record from the Alexandria database describes HoTh2Rh5Au after structural relaxation. The functional is PBE.

Cell: 8.360 8.360 8.081 Å, 121.15 121.15 90.00°
Sites, in units of the cell vectors:
1 Ho 0.250 0.250 0.500
2 Ho 0.750 0.750 0.500
3 Rh 0.443 0.331 0.274
4 Rh 0.169 0.057 0.726
5 Rh 0.943 0.443 0.274
6 Rh 0.500 0.500 0.000
7 Rh 0.000 0.000 0.000
8 Rh 0.331 0.831 0.274
9 Rh 0.557 0.669 0.726
10 Rh 0.831 0.943 0.274
11 Rh 0.057 0.557 0.726
12 Rh 0.669 0.169 0.726
13 Au 0.750 0.250 0.500
14 Au 0.250 0.750 0.500
15 Th 0.638 0.138 0.000
16 Th 0.862 0.638 0.000
17 Th 0.138 0.362 0.000
18 Th 0.362 0.862 0.000



Entry 6:
This record from the Alexandria database describes ReSbN2F after structural relaxation. The functional is PBE.

Cell: 3.964 3.964 4.210 Å, 90.00 90.00 90.00°
Sites, in units of the cell vectors:
1 Re 0.000 0.000 0.000
2 F 0.000 0.000 0.500
3 N 0.000 0.500 0.000
4 N 0.500 0.000 0.000
5 Sb 0.500 0.500 0.500



no.,DFT total energy (eV per cell),M_tot (μB per cell)
1,-27.12,0.00
2,-29.81,7.61
3,-24.16,0.00
4,-30.64,2.28
5,-125.32,0.00
6,-34.12,0.00